Crystalline NdNi7Ge2 at its relaxed geometry, computed with PBE.

Properties
Energy ... -53.3 eV for the cell shown
Formation energy ... 119 meV per atom

Geometry as extended XYZ:
```
10
Lattice="3.2980 -5.6501 0.0000 3.2980 5.6501 0.0000 0.0000 0.0000 4.4501" Properties=species:S:1:pos:R:3 pbc="T T T"
Nd 0.0000 0.0000 0.0000
Ni 1.2188 1.3153 2.2251
Ni 3.2980 2.9471 0.0000
Ni 1.2188 -1.3153 2.2251
Ni 3.2980 0.0000 2.2251
Ni 5.3772 1.3153 2.2251
Ni 3.2980 -2.9471 0.0000
Ni 5.3772 -1.3153 2.2251
Ge 3.2980 2.2863 2.2251
Ge 3.2980 -2.2863 2.2251
```